# 1
The following is a meta-GGA SCAN calculation of SrMg4 at its PBEsol-relaxed geometry, from Alexandria.

Its crystal system is tetragonal. For the calculated formation energy, the calculation gives 16 kJ/mol of formula units.

The structure belongs to space group I4/mmm (No. 139); the cell edges are 4.628, 4.628 and 13.631 Å and the angles 90.00°, 90.00° and 90.00°. Symmetry generates all atoms from Sr at (0.000, 0.000, 0.000), Mg at (0.000, 0.000, 0.393) and Mg at (0.000, 0.500, 0.250).

# 2
The following is a meta-GGA SCAN calculation of Li2ZnCo at its PBEsol-relaxed geometry, from Alexandria.

Its crystal system is orthorhombic. For the calculated formation energy, the calculation gives 18 kJ/mol of formula units.

The structure belongs to space group Immm (No. 71); the cell edges are 2.616, 4.243 and 8.834 Å and the angles 90.00°, 90.00° and 90.00°. Symmetry generates all atoms from Li at (0.000, 0.000, 0.247), Zn at (0.000, 0.500, 0.000) and Co at (0.000, 0.500, 0.500).

# 3
The following is a meta-GGA SCAN calculation of CoAs2Ru at its PBEsol-relaxed geometry, from Alexandria.

Its crystal system is monoclinic. For the calculated formation energy, the calculation gives -7 kJ/mol of formula units.

The structure belongs to space group Cm (No. 8); the cell edges are 8.239, 3.117 and 4.442 Å and the angles 90.00°, 103.98° and 90.00°. Symmetry generates all atoms from Co at (0.000, 0.000, 0.000), As at (0.221, 0.500, 0.038), As at (0.485, 0.000, 0.432) and Ru at (0.220, 0.000, 0.597).

# 4
The following is a meta-GGA SCAN calculation of Ca2FePt at its PBEsol-relaxed geometry, from Alexandria.

Its crystal system is tetragonal. For the calculated formation energy, the calculation gives -81 kJ/mol of formula units.

The structure belongs to space group P4mm (No. 99); the cell edges are 3.384, 3.384 and 8.203 Å and the angles 90.00°, 90.00° and 90.00°. Symmetry generates all atoms from Ca at (0.000, 0.000, 0.000), Ca at (0.500, 0.500, 0.401), Fe at (0.500, 0.500, 0.749) and Pt at (0.000, 0.000, 0.640).

# 5
The following is a meta-GGA SCAN calculation of BaCa2H2 at its PBEsol-relaxed geometry, from Alexandria.

Its crystal system is tetragonal.

The structure belongs to space group I4/mmm (No. 139); the cell edges are 3.839, 3.839 and 18.251 Å and the angles 90.00°, 90.00° and 90.00°. Symmetry generates all atoms from Ba at (0.000, 0.000, 0.000), Ca at (0.000, 0.000, 0.317) and H at (0.000, 0.500, 0.250).

# 6
The following is a meta-GGA SCAN calculation of Cr2TeO6 at its PBEsol-relaxed geometry, from Alexandria.

As for the uncorrected formation energy: -1.89 eV/atom. Its crystal system is tetragonal.

The structure belongs to space group P4_2/mnm (No. 136); the cell edges are 4.539, 4.539 and 9.128 Å and the angles 90.00°, 90.00° and 90.00°. Symmetry generates all atoms from Cr at (0.000, 0.000, 0.167), Te at (0.000, 0.000, 0.500), O at (0.184, 0.184, 0.000) and O at (0.199, 0.199, 0.325).

# 7
The following is a meta-GGA SCAN calculation of InPPb2O at its PBEsol-relaxed geometry, from Alexandria.

As for the uncorrected formation energy: 0.30 eV/atom. Its crystal system is tetragonal.

The structure belongs to space group P4/mmm (No. 123); the cell edges are 5.692, 5.692 and 3.944 Å and the angles 90.00°, 90.00° and 90.00°. Symmetry generates all atoms from In at (0.000, 0.000, 0.000), P at (0.500, 0.500, 0.500), Pb at (0.000, 0.500, 0.000) and O at (0.000, 0.000, 0.500).

# 8
The following is a meta-GGA SCAN calculation of GaP2PtO at its PBEsol-relaxed geometry, from Alexandria.

As for the uncorrected formation energy: 0.50 eV/atom. Its crystal system is tetragonal.

The structure belongs to space group P4/mmm (No. 123); the cell edges are 4.744, 4.744 and 3.449 Å and the angles 90.00°, 90.00° and 90.00°. Symmetry generates all atoms from Ga at (0.000, 0.000, 0.000), P at (0.000, 0.500, 0.000), Pt at (0.500, 0.500, 0.500) and O at (0.000, 0.000, 0.500).

# 9
The following is a meta-GGA SCAN calculation of InBr2Cl at its PBEsol-relaxed geometry, from Alexandria.

As for the uncorrected formation energy: -0.93 eV/atom. Its crystal system is monoclinic.

The structure belongs to space group Pm (No. 6); the cell edges are 6.271, 3.662 and 6.355 Å and the angles 90.00°, 119.54° and 90.00°. Symmetry generates all atoms from In at (0.000, 0.000, 0.000), Br at (0.056, 0.500, 0.327), Br at (0.378, 0.000, 0.969) and Cl at (0.742, 0.500, 0.706).

# 10
The following is a meta-GGA SCAN calculation of NiRu2Pt at its PBEsol-relaxed geometry, from Alexandria.

Its crystal system is tetragonal. For the calculated formation energy, the calculation gives 14 kJ/mol of formula units.

The structure belongs to space group I-4m2 (No. 119); the cell edges are 3.724, 3.724 and 7.533 Å and the angles 90.00°, 90.00° and 90.00°. Symmetry generates all atoms from Ni at (0.000, 0.000, 0.000), Ru at (0.000, 0.000, 0.500), Ru at (0.000, 0.500, 0.250) and Pt at (0.000, 0.500, 0.750).

# 11
The following is a meta-GGA SCAN calculation of KSrBr2 at its PBEsol-relaxed geometry, from Alexandria.

As for the uncorrected formation energy: -1.63 eV/atom. Its crystal system is orthorhombic.

The structure belongs to space group Cmmm (No. 65); the cell edges are 4.331, 7.530 and 9.178 Å and the angles 90.00°, 90.00° and 90.00°. Symmetry generates all atoms from K at (0.000, 0.000, 0.000), Sr at (0.000, 0.000, 0.500) and Br at (0.000, 0.500, 0.249).

# 12
The following is a meta-GGA SCAN calculation of CrTe4W at its PBEsol-relaxed geometry, from Alexandria.

As for the uncorrected formation energy: 1.53 eV/atom. Its crystal system is cubic.

The structure belongs to space group F-43m (No. 216); the cell edges are 8.586, 8.586 and 8.586 Å and the angles 90.00°, 90.00° and 90.00°. Symmetry generates all atoms from Cr at (0.000, 0.000, 0.000), Te at (0.125, 0.125, 0.375) and W at (0.250, 0.250, 0.750).

Number 1: total DFT energy (no corrections) -8.401 eV per atom. Number 2: total DFT energy (no corrections) -8.854 eV per atom. Number 3: total DFT energy (no corrections) -23.146 eV per atom. Number 4: total DFT energy (no corrections) -27.123 eV per atom. Number 5: total DFT energy (no corrections) -13.510 eV per atom. Number 6: total DFT energy (no corrections) -14.268 eV per atom. Number 7: total DFT energy (no corrections) -40.020 eV per atom. Number 8: total DFT energy (no corrections) -22.212 eV per atom. Number 9: total DFT energy (no corrections) -21.002 eV per atom. Number 10: total DFT energy (no corrections) -38.970 eV per atom. Number 11: total DFT energy (no corrections) -19.007 eV per atom. Number 12: total DFT energy (no corrections) -37.980 eV per atom.